Computed, not measured: a relaxed CsTmZn2Br8 crystal at the PBE level of DFT.

Formation energy without anion corrections: -1.35 eV per atom
SG: R-3 (148)

Lattice parameters (Å, degrees): 11.407 11.407 11.407 35.04 35.04 35.04
Fractional positions:
Cs1 0.000 0.000 0.000
Tm1 0.500 0.500 0.500
Zn1 0.243 0.243 0.243
Zn2 0.757 0.757 0.757
Br1 0.124 0.443 0.781
Br2 0.219 0.876 0.557
Br3 0.317 0.317 0.317
Br4 0.443 0.781 0.124
Br5 0.557 0.219 0.876
Br6 0.683 0.683 0.683
Br7 0.781 0.124 0.443
Br8 0.876 0.557 0.219